[1]
Pm8RuPt2 | PBE | optimized geometry

a b c (Å): 9.193 9.193 6.964
angles (deg): 99.21 99.21 32.06
Element x y z (fractional)
Pm 0.033 0.033 0.283
Pm 0.204 0.204 0.830
Pm 0.338 0.338 0.534
Pm 0.413 0.413 0.062
Pm 0.587 0.587 0.938
Pm 0.662 0.662 0.466
Pm 0.796 0.796 0.170
Pm 0.967 0.967 0.717
Ru 0.500 0.500 0.500
Pt 0.201 0.201 0.238
Pt 0.799 0.799 0.762

Results
Energy above the most stable polymorph in this dataset, eV per atom: 0.000
SG: C2/m, No. 12

***

[2]
Pm6RuPt2 | PBE | optimized geometry

a b c (Å): 6.773 7.461 11.978
angles (deg): 90.00 120.69 90.00
Element x y z (fractional)
Pm 0.092 0.045 0.251
Pm 0.092 0.455 0.751
Pm 0.249 0.679 0.075
Pm 0.249 0.821 0.575
Pm 0.397 0.181 0.067
Pm 0.397 0.319 0.567
Pm 0.603 0.681 0.433
Pm 0.603 0.819 0.933
Pm 0.751 0.179 0.425
Pm 0.751 0.321 0.925
Pm 0.908 0.545 0.249
Pm 0.908 0.955 0.749
Ru 0.000 0.000 0.000
Ru 0.000 0.500 0.500
Pt 0.322 0.115 0.767
Pt 0.322 0.385 0.267
Pt 0.678 0.615 0.733
Pt 0.678 0.885 0.233

Results
SG: P2_1/c, No. 14

***

[3]
Pm6RuPt3 | PBE | optimized geometry

a b c (Å): 6.957 7.646 12.543
angles (deg): 90.00 123.23 90.00
Element x y z (fractional)
Pm 0.083 0.057 0.245
Pm 0.083 0.443 0.745
Pm 0.246 0.684 0.078
Pm 0.246 0.816 0.578
Pm 0.399 0.173 0.075
Pm 0.399 0.327 0.575
Pm 0.601 0.673 0.425
Pm 0.601 0.827 0.925
Pm 0.754 0.184 0.422
Pm 0.754 0.316 0.922
Pm 0.917 0.557 0.255
Pm 0.917 0.943 0.755
Ru 0.000 0.000 0.000
Ru 0.000 0.500 0.500
Pt 0.300 0.110 0.750
Pt 0.300 0.390 0.250
Pt 0.500 0.000 0.500
Pt 0.500 0.500 0.000
Pt 0.700 0.610 0.750
Pt 0.700 0.890 0.250

Results
SG: P2_1/c, No. 14

***

[4]
Pm12RuPt6 | PBE | optimized geometry

a b c (Å): 8.394 8.394 8.394
angles (deg): 98.82 98.82 98.82
Element x y z (fractional)
Pm 0.044 0.928 0.680
Pm 0.072 0.320 0.956
Pm 0.178 0.584 0.423
Pm 0.320 0.956 0.072
Pm 0.416 0.577 0.822
Pm 0.423 0.178 0.584
Pm 0.577 0.822 0.416
Pm 0.584 0.423 0.178
Pm 0.680 0.044 0.928
Pm 0.822 0.416 0.577
Pm 0.928 0.680 0.044
Pm 0.956 0.072 0.320
Ru 0.000 0.000 0.000
Pt 0.134 0.309 0.618
Pt 0.309 0.618 0.134
Pt 0.382 0.866 0.691
Pt 0.618 0.134 0.309
Pt 0.691 0.382 0.866
Pt 0.866 0.691 0.382

Results
SG: R-3, No. 148

***

[5]
Pm5Ru4Pt | PBE | optimized geometry

a b c (Å): 3.516 3.516 17.442
angles (deg): 90.00 90.00 90.00
Element x y z (fractional)
Pm 0.000 0.000 0.000
Pm 0.000 0.000 0.198
Pm 0.000 0.000 0.396
Pm 0.000 0.000 0.604
Pm 0.000 0.000 0.802
Ru 0.500 0.500 0.099
Ru 0.500 0.500 0.300
Ru 0.500 0.500 0.700
Ru 0.500 0.500 0.901
Pt 0.500 0.500 0.500

Results
SG: P4/mmm, No. 123

***

[6]
PmSbRuPt | PBE | optimized geometry

a b c (Å): 4.832 4.832 4.832
angles (deg): 60.00 60.00 60.00
Element x y z (fractional)
Pm 0.000 0.000 0.000
Sb 0.500 0.500 0.500
Ru 0.750 0.750 0.750
Pt 0.250 0.250 0.250

Results
SG: F-43m, No. 216

***

[7]
PmScRuPt | PBE | optimized geometry

a b c (Å): 4.810 4.810 4.810
angles (deg): 60.00 60.00 60.00
Element x y z (fractional)
Pm 0.000 0.000 0.000
Sc 0.500 0.500 0.500
Ru 0.250 0.250 0.250
Pt 0.750 0.750 0.750

Results
SG: F-43m, No. 216

***

[8]
PmSi2RuPt4 | PBE | optimized geometry

a b c (Å): 3.908 3.908 9.589
angles (deg): 90.00 90.00 90.00
Element x y z (fractional)
Pm 0.000 0.000 0.000
Si 0.500 0.500 0.381
Si 0.500 0.500 0.619
Ru 0.000 0.000 0.500
Pt 0.000 0.500 0.242
Pt 0.000 0.500 0.758
Pt 0.500 0.000 0.242
Pt 0.500 0.000 0.758

Results
SG: P4/mmm, No. 123

***

[9]
Pm2Si4RuPt3 | PBE | optimized geometry

a b c (Å): 4.195 4.195 9.980
angles (deg): 90.00 90.00 90.00
Element x y z (fractional)
Pm 0.000 0.500 0.245
Pm 0.500 0.000 0.755
Si 0.000 0.000 0.000
Si 0.000 0.500 0.629
Si 0.500 0.000 0.371
Si 0.500 0.500 0.000
Ru 0.000 0.000 0.500
Pt 0.000 0.500 0.875
Pt 0.500 0.000 0.125
Pt 0.500 0.500 0.500

Results
SG: P-4m2, No. 115

***

[10]
PmSi2RuPt | PBE | optimized geometry

a b c (Å): 5.864 5.864 5.864
angles (deg): 138.91 138.91 59.51
Element x y z (fractional)
Pm 0.000 0.000 0.000
Si 0.378 0.378 0.000
Si 0.622 0.622 0.000
Ru 0.750 0.250 0.500
Pt 0.250 0.750 0.500

Results
SG: I-4m2, No. 119

***

[11]
PmSmRuPt | PBE | optimized geometry

a b c (Å): 4.989 4.989 4.989
angles (deg): 60.00 60.00 60.00
Element x y z (fractional)
Pm 0.000 0.000 0.000
Sm 0.500 0.500 0.500
Ru 0.250 0.250 0.250
Pt 0.750 0.750 0.750

Results
SG: F-43m, No. 216

***

[12]
PmSnRuPt | PBE | optimized geometry

a b c (Å): 4.813 4.813 4.813
angles (deg): 60.00 60.00 60.00
Element x y z (fractional)
Pm 0.000 0.000 0.000
Sn 0.500 0.500 0.500
Ru 0.250 0.250 0.250
Pt 0.750 0.750 0.750

Results
SG: F-43m, No. 216

***

Number 1: total energy -5.874 eV per atom. Number 2: total energy -6.148 eV per atom. Number 3: total energy -6.330 eV per atom. Number 4: total energy -6.145 eV per atom. Number 5: total energy -7.026 eV per atom. Number 6: total energy -6.405 eV per atom. Number 7: total energy -7.295 eV per atom. Number 8: total energy -6.592 eV per atom. Number 9: total energy -6.950 eV per atom. Number 10: total energy -7.197 eV per atom. Number 11: total energy -6.814 eV per atom. Number 12: total energy -6.470 eV per atom.